The following is a DFT calculation (GGA-PBE) of a relaxed structure of HoAl2Si.

The value obtained for the formation energy without anion corrections is -0.371 eV/atom. The spin magnetization comes out at 0.0 μB per cell.

The structure belongs to space group P4/mmm (No. 123); the cell edges are 4.149, 4.149 and 4.311 Å and the angles 90.00°, 90.00° and 90.00°. The distinct sites, in fractional coordinates, are Ho at (0.000, 0.000, 0.000), Al at (0.000, 0.500, 0.500) and Si at (0.500, 0.500, 0.000).